Ta2NiB2Pd after structural relaxation, computed with GGA-PBE.

## Properties
VASP energy = -44.3 eV per cell
SG = Amm2 (38)

a = 2.7272 Å, b = 10.8800 Å, c = 10.8800 Å
α = 15.67°, β = 90.00°, γ = 90.00°
Closest atoms and distances in Å follow each position.
Fractional coordinates of all 6 atoms:
Ta (0.0000, 0.0000, 0.0000)  2 Ni 2.57, 3 Ta 2.66-2.73
Ta (0.0000, 0.1232, 0.1232)  5 Ta 2.66-2.97, 2 Pd 2.76
Ni (0.0000, 0.4028, 0.4028)  3 B 2.03-2.04
B (0.0000, 0.3085, 0.3085)  2 B 1.61
B (0.0000, 0.8377, 0.8377)  2 B 1.61
Pd (0.0000, 0.7314, 0.7314)  3 B 2.23-2.29